No. 1
The following is a PBE calculation of a relaxed La4Se3Br4 crystal, from the Alexandria database.

The formation energy from raw total energies comes out at -1.87 eV per atom. As for the crystal system: orthorhombic. For the magnetic moment, the calculation gives 0.000 μB per atom. The density of states at the Fermi level is 5.56 states/eV/cell. Its uncorrected energy is -5.222 eV per atom.

It has space group Immm (No. 71), with a = 3.904 Å, b = 8.905 Å, c = 18.084 Å, α = 90.00°, β = 90.00° and γ = 90.00°. Symmetry generates all atoms from La at (0.000, 0.000, 0.224), La at (0.000, 0.233, 0.000), Se at (0.000, 0.000, 0.500), Se at (0.000, 0.500, 0.408) and Br at (0.000, 0.317, 0.171).

No. 2
The following is a PBE calculation of a relaxed CoAuSCl2 crystal, from the Alexandria database.

The formation energy from raw total energies comes out at 0.28 eV per atom. As for the crystal system: tetragonal. The offset from the most stable computed form is 0.000 eV per atom. For the magnetic moment, the calculation gives 0.196 μB per atom. The density of states at the Fermi level is 3.83 states/eV/cell. Its uncorrected energy is -3.365 eV per atom.

It has space group P4/mmm (No. 123), with a = 4.783 Å, b = 4.783 Å, c = 4.251 Å, α = 90.00°, β = 90.00° and γ = 90.00°. Symmetry generates all atoms from Co at (0.000, 0.000, 0.000), Au at (0.500, 0.500, 0.500), S at (0.000, 0.000, 0.500) and Cl at (0.000, 0.500, 0.000).

No. 3
The following is a PBE calculation of a relaxed ErTm2Bi crystal, from the Alexandria database.

As for the crystal system: trigonal. For the formation energy, the calculation gives -0.18 eV/atom. The offset from the most stable computed form is 0.210 eV per atom. For the magnetic moment, the calculation gives 0.034 μB per atom. The density of states at the Fermi level is 16.34 states/eV/cell. Its uncorrected energy is -4.529 eV per atom.

It has space group R3m (No. 160, hexagonal axes), with a = 3.6127 Å, b = 3.6127 Å, c = 31.9118 Å, α = 90.00°, β = 90.00° and γ = 120.00°. Symmetry generates all atoms from Er at (0.0000, 0.0000, 0.0000), Tm at (0.0000, 0.0000, 0.2472), Tm at (0.0000, 0.0000, 0.4187) and Bi at (0.0000, 0.0000, 0.8332).

No. 4
The following is a PBE calculation of a relaxed NaGd2Pa crystal, from the Alexandria database.

As for the crystal system: trigonal. For the formation energy, the calculation gives 0.20 eV/atom. For the magnetic moment, the calculation gives 3.604 μB per atom. The density of states at the Fermi level is 14.66 states/eV/cell. Its uncorrected energy is -9.545 eV per atom.

It has space group R-3m (No. 166, hexagonal axes), with a = 3.4233 Å, b = 3.4233 Å, c = 37.0504 Å, α = 90.00°, β = 90.00° and γ = 120.00°. Symmetry generates all atoms from Na at (0.0000, 0.0000, 0.0000), Gd at (0.0000, 0.0000, 0.0941) and Pa at (0.0000, 0.0000, 0.5000).

No. 5
The following is a PBE calculation of a relaxed TbPm12Ho6 crystal, from the Alexandria database.

As for the crystal system: trigonal. For the formation energy, the calculation gives 0.14 eV/atom. The offset from the most stable computed form is 0.122 eV per atom. For the magnetic moment, the calculation gives 0.000 μB per atom. The density of states at the Fermi level is 96.81 states/eV/cell. Its uncorrected energy is -4.553 eV per atom.

It has space group R-3 (No. 148, hexagonal axes), with a = 12.0960 Å, b = 12.0960 Å, c = 15.2376 Å, α = 90.00°, β = 90.00° and γ = 120.00°. Symmetry generates all atoms from Tb at (0.0000, 0.0000, 0.0000), Pm at (0.0044, 0.1747, 0.1915), Pm at (0.0464, 0.1966, 0.4164) and Ho at (0.0148, 0.5877, 0.6862).

No. 6
The following is a PBE calculation of a relaxed Rb4Na2Hg3 crystal, from the Alexandria database.

As for the crystal system: monoclinic. For the formation energy, the calculation gives -0.13 eV/atom. For the magnetic moment, the calculation gives 0.000 μB per atom. The density of states at the Fermi level is 11.44 states/eV/cell. Its uncorrected energy is -0.956 eV per atom.

It has space group C2/m (No. 12), with a = 21.241 Å, b = 4.614 Å, c = 9.141 Å, α = 90.00°, β = 105.68° and γ = 90.00°. Symmetry generates all atoms from Rb at (0.065, 0.000, 0.368), Rb at (0.243, 0.000, 0.754), Na at (0.101, 0.000, 0.972), Hg at (0.000, 0.500, 0.000) and Hg at (0.086, 0.500, 0.727).

No. 7
The following is a PBE calculation of a relaxed Mg2In2SnHg7 crystal, from the Alexandria database.

As for the crystal system: monoclinic. For the formation energy, the calculation gives -0.01 eV/atom. For the magnetic moment, the calculation gives 0.000 μB per atom. The density of states at the Fermi level is 7.62 states/eV/cell. Its uncorrected energy is -1.240 eV per atom.

It has space group Cm (No. 8), with a = 19.202 Å, b = 5.668 Å, c = 5.684 Å, α = 90.00°, β = 104.89° and γ = 90.00°. Symmetry generates all atoms from Mg at (0.000, 0.000, 0.000), Mg at (0.000, 0.500, 0.441), In at (0.088, 0.000, 0.575), In at (0.412, 0.000, 0.866), Sn at (0.250, 0.500, 0.222), Hg at (0.074, 0.500, 0.015), Hg at (0.162, 0.000, 0.140), Hg at (0.162, 0.500, 0.615), Hg at (0.250, 0.000, 0.722), Hg at (0.338, 0.000, 0.302), Hg at (0.338, 0.500, 0.828) and Hg at (0.426, 0.500, 0.427).

No. 8
The following is a PBE calculation of a relaxed SrMgIn2Hg4 crystal, from the Alexandria database.

As for the crystal system: trigonal. For the formation energy, the calculation gives -0.24 eV/atom. For the magnetic moment, the calculation gives 0.000 μB per atom. The density of states at the Fermi level is 7.46 states/eV/cell. Its uncorrected energy is -1.489 eV per atom.

It has space group R-3m (No. 166, hexagonal axes), with a = 5.1901 Å, b = 5.1901 Å, c = 26.5041 Å, α = 90.00°, β = 90.00° and γ = 120.00°. Symmetry generates all atoms from Sr at (0.0000, 0.0000, 0.0000), Mg at (0.0000, 0.0000, 0.5000), In at (0.0000, 0.0000, 0.2526), Hg at (0.0000, 0.0000, 0.1337) and Hg at (0.0000, 0.0000, 0.3874).

No. 9
The following is a PBE calculation of a relaxed Cu2AgI3 crystal, from the Alexandria database.

The formation energy from raw total energies comes out at -0.17 eV per atom. As for the crystal system: monoclinic. The offset from the most stable computed form is 0.000 eV per atom. For the magnetic moment, the calculation gives 0.000 μB per atom. Its uncorrected energy is -2.787 eV per atom.

It has space group Cc (No. 9), with a = 7.650 Å, b = 13.318 Å, c = 7.606 Å, α = 90.00°, β = 109.05° and γ = 90.00°. Symmetry generates all atoms from Cu at (0.000, 0.083, 0.000), Cu at (0.000, 0.245, 0.501), Ag at (0.497, 0.086, 0.492), I at (0.103, 0.081, 0.366), I at (0.135, 0.237, 0.868) and I at (0.137, 0.405, 0.389).

No. 10
The following is a PBE calculation of a relaxed Li2TbGaSe4 crystal, from the Alexandria database.

The formation energy from raw total energies comes out at -1.18 eV per atom. As for the crystal system: orthorhombic. For the magnetic moment, the calculation gives 0.000 μB per atom. The density of states at the Fermi level is 0.71 states/eV/cell. Its uncorrected energy is -4.354 eV per atom.

It has space group Imma (No. 74), with a = 7.684 Å, b = 8.111 Å, c = 11.213 Å, α = 90.00°, β = 90.00° and γ = 90.00°. Symmetry generates all atoms from Li at (0.000, 0.000, 0.000), Li at (0.250, 0.250, 0.250), Tb at (0.000, 0.000, 0.500), Ga at (0.250, 0.250, 0.750), Se at (0.000, 0.030, 0.757) and Se at (0.241, 0.250, 0.006).

No. 11
The following is a PBE calculation of a relaxed Cs2HfGa crystal, from the Alexandria database.

As for the crystal system: cubic. For the formation energy, the calculation gives 1.28 eV/atom. The offset from the most stable computed form is 0.461 eV per atom. For the magnetic moment, the calculation gives 0.000 μB per atom. The density of states at the Fermi level is 19.32 states/eV/cell. Its uncorrected energy is -2.396 eV per atom.

It has space group Fm-3m (No. 225), with a = 8.647 Å, b = 8.647 Å, c = 8.647 Å, α = 90.00°, β = 90.00° and γ = 90.00°. Symmetry generates all atoms from Cs at (0.250, 0.250, 0.250), Hf at (0.000, 0.000, 0.000) and Ga at (0.000, 0.000, 0.500).